Arrangement P

The following is a DFT calculation (PBEsol) of a geometry-optimized TaCu2Br structure.

Cell lengths 3.673, 3.673, 5.198 Å; angles 110.69, 110.69, 90.00 degrees
Positions (direct):
Cu (0.250, 0.750, 0.500)
Ta (0.500, 0.500, 0.000)
Br (0.000, 0.000, 0.000)
Cu (0.750, 0.250, 0.500)

Computed properties:
The total moment is 0.000 μB per formula unit. As for the symmetry: I4/mmm, No. 139.

***

Arrangement Q

The following is a DFT calculation (PBEsol) of a geometry-optimized TaCu2Br structure.

Cell lengths 2.947, 4.464, 5.343 Å; angles 114.80, 106.01, 90.00 degrees
Positions (direct):
Br (0.500, 0.000, 0.000)
Ta (0.000, 0.500, 0.000)
Cu (0.250, 0.249, 0.499)
Cu (0.750, 0.751, 0.501)

Computed properties:
The total moment is 0.000 μB per formula unit. As for the symmetry: C2/m, No. 12.

***

On energetic grounds, arrangement Q is preferred over the next structure by 208 meV per atom.

***

Arrangement P

The following is a DFT calculation (PBEsol) of a geometry-optimized Tl2CuBr structure.

Cell lengths 3.481, 3.481, 8.630 Å; angles 90.00, 90.00, 111.20 degrees
Positions (direct):
Cu (0.500, 0.500, 0.265)
Tl (0.000, 0.000, 0.051)
Tl (0.500, 0.500, 0.749)
Br (0.000, 0.000, 0.435)

Computed properties:
The total moment is 0.000 μB per formula unit. As for the symmetry: Cmm2, No. 35.

***

Arrangement Q

The following is a DFT calculation (PBEsol) of a geometry-optimized Tl2CuBr structure.

Cell lengths 3.804, 3.804, 7.465 Å; angles 90.00, 90.00, 90.00 degrees
Positions (direct):
Tl (0.000, 0.000, 0.878)
Cu (0.500, 0.500, 0.896)
Tl (0.500, 0.500, 0.257)
Br (0.000, 0.000, 0.469)

Computed properties:
The total moment is 0.000 μB per formula unit. As for the symmetry: P4mm, No. 99.

***

Arrangement R

The following is a DFT calculation (PBEsol) of a geometry-optimized Tl2CuBr structure.

Cell lengths 5.223, 5.223, 5.223 Å; angles 60.00, 60.00, 60.00 degrees
Positions (direct):
Cu (0.250, 0.250, 0.250)
Tl (0.000, 0.000, 0.000)
Tl (0.750, 0.750, 0.750)
Br (0.500, 0.500, 0.500)

Computed properties:
The total moment is 0.000 μB per formula unit. As for the symmetry: F-43m, No. 216.

***

On energetic grounds, arrangement Q is preferred over the next structure by 39 meV per atom.

***

Arrangement P

The following is a DFT calculation (PBEsol) of a geometry-optimized YCu2Br structure.

Cell lengths 4.040, 4.040, 6.793 Å; angles 72.70, 72.70, 60.00 degrees
Positions (direct):
Cu (0.728, 0.728, 0.815)
Br (0.240, 0.240, 0.281)
Y (0.479, 0.479, 0.564)
Cu (0.053, 0.053, 0.840)

Computed properties:
The total moment is 0.000 μB per formula unit. As for the symmetry: R3m, No. 160.

***

Arrangement Q

The following is a DFT calculation (PBEsol) of a geometry-optimized YCu2Br structure.

Cell lengths 4.703, 4.703, 4.703 Å; angles 60.00, 60.00, 60.00 degrees
Positions (direct):
Cu (0.000, 0.000, 0.000)
Y (0.250, 0.250, 0.250)
Br (0.500, 0.500, 0.500)
Cu (0.750, 0.750, 0.750)

Computed properties:
The total moment is 0.000 μB per formula unit. As for the symmetry: F-43m, No. 216.

***

On energetic grounds, arrangement P is preferred over the next structure by 254 meV per atom.

***

Arrangement P

The following is a DFT calculation (PBEsol) of a geometry-optimized ZnCuBr2 structure.

Cell lengths 3.541, 4.606, 5.899 Å; angles 90.01, 107.46, 90.00 degrees
Positions (direct):
Br (0.318, 0.250, 0.636)
Cu (0.392, 0.750, 0.783)
Br (0.056, 0.750, 0.113)
Zn (0.734, 0.751, 0.468)

Computed properties:
The total moment is 0.000 μB per formula unit. As for the symmetry: Amm2, No. 38.

***

Arrangement Q

The following is a DFT calculation (PBEsol) of a geometry-optimized ZnCuBr2 structure.

Cell lengths 3.856, 3.856, 5.403 Å; angles 90.00, 90.00, 90.00 degrees
Positions (direct):
Br (0.000, 0.000, 0.875)
Br (0.500, 0.500, 0.375)
Cu (0.000, 0.000, 0.375)
Zn (0.500, 0.500, 0.875)

Computed properties:
The total moment is 0.000 μB per formula unit. As for the symmetry: P4/mmm, No. 123.

***

On energetic grounds, arrangement P is preferred over the next structure by 130 meV per atom.